(1)
Here is an optimized crystal structure of CaCe3Ho2Se6 from Alexandria. Energies are from PBE-GGA.

```
CaCe3Ho2Se6
1.0
3.569 -6.187 0.000
3.569 6.187 0.000
-2.381 0.000 6.888
Ca Ce Ho Se
1 3 2 6
Direct
0.000 0.000 0.000
0.165 0.835 0.500
0.500 0.500 0.500
0.835 0.165 0.500
0.333 0.667 0.000
0.667 0.333 0.000
0.079 0.415 0.238
0.257 0.257 0.764
0.415 0.079 0.238
0.585 0.921 0.762
0.743 0.743 0.236
0.921 0.585 0.762
```

Its symmetry is No. 12. As for the crystal system: monoclinic. The uncorrected formation energy comes out at -1808 meV per atom.

=====

(2)
Here is an optimized crystal structure of YHRh3 from Alexandria. Energies are from PBE-GGA.

```
YHRh3
1.0
5.063 0.000 0.000
0.000 5.769 0.000
-1.783 0.000 4.742
Y H Rh
2 2 6
Direct
0.242 0.250 0.258
0.758 0.750 0.742
0.465 0.750 0.029
0.535 0.250 0.971
0.237 0.750 0.263
0.253 0.000 0.753
0.253 0.500 0.753
0.747 0.000 0.247
0.747 0.500 0.247
0.763 0.250 0.737
```

Its symmetry is No. 11. As for the crystal system: monoclinic. The calculation puts the energy above the most stable polymorph in this dataset at 0.099 eV/atom.

=====

(3)
Here is an optimized crystal structure of TaInW2 from Alexandria. Energies are from PBE-GGA.

```
TaInW2
1.0
-1.676 2.298 4.594
1.676 -2.298 4.594
1.676 2.298 -4.594
Ta In W
1 1 2
Direct
0.000 0.000 0.000
0.500 0.500 0.000
0.237 0.737 0.500
0.763 0.263 0.500
```

As for the formation energy: 0.298 eV/atom. Its symmetry is No. 71. As for the crystal system: orthorhombic.

=====

(4)
Here is an optimized crystal structure of La6SiOs2Cl3 from Alexandria. Energies are from PBE-GGA.

```
La6SiOs2Cl3
1.0
3.676 -6.375 0.000
3.676 6.375 0.000
-2.478 0.000 7.478
La Si Os Cl
6 1 2 3
Direct
0.080 0.432 0.791
0.218 0.218 0.210
0.432 0.080 0.791
0.568 0.920 0.209
0.782 0.782 0.790
0.920 0.568 0.209
0.500 0.500 0.000
0.167 0.833 0.000
0.833 0.167 0.000
0.000 0.000 0.500
0.336 0.664 0.500
0.664 0.336 0.500
```

Its symmetry is No. 12. As for the crystal system: monoclinic. The uncorrected formation energy comes out at -1033 meV per atom.

=====

(5)
Here is an optimized crystal structure of Ac2NdIn2 from Alexandria. Energies are from PBE-GGA.

```
Ac2NdIn2
1.0
-2.549 3.615 4.913
2.549 -3.615 4.913
2.549 3.615 -4.913
Ac Nd In
2 1 2
Direct
0.198 0.198 0.000
0.802 0.802 0.000
0.500 0.000 0.500
0.214 0.500 0.714
0.786 0.500 0.286
```

As for the formation energy: -0.346 eV/atom. Its symmetry is No. 71. As for the crystal system: orthorhombic.

=====

(6)
Here is an optimized crystal structure of CoBr3 from Alexandria. Energies are from PBE-GGA.

```
CoBr3
1.0
5.660 -8.358 0.000
5.660 8.358 0.000
0.000 0.000 3.261
Co Br
2 6
Direct
0.182 0.818 0.750
0.818 0.182 0.250
0.023 0.271 0.750
0.271 0.023 0.250
0.297 0.703 0.250
0.703 0.297 0.750
0.729 0.977 0.750
0.977 0.729 0.250
```

Its symmetry is No. 63. As for the crystal system: orthorhombic. The uncorrected formation energy comes out at -112 meV per atom.

=====

(7)
Here is an optimized crystal structure of ScCdIn2Sn from Alexandria. Energies are from PBE-GGA.

```
ScCdIn2Sn
1.0
5.285 0.000 0.000
0.000 5.285 0.000
0.000 0.000 5.484
Sc Cd In Sn
1 1 2 1
Direct
0.000 0.000 0.000
0.000 0.000 0.500
0.000 0.500 0.500
0.500 0.000 0.500
0.500 0.500 0.000
```

As for the formation energy: 0.411 eV/atom. Its symmetry is No. 123. As for the crystal system: tetragonal.

=====

(8)
Here is an optimized crystal structure of RbSc2NbRh from Alexandria. Energies are from PBE-GGA.

```
RbSc2NbRh
1.0
4.817 0.000 0.000
0.000 4.817 0.000
0.000 0.000 4.847
Rb Sc Nb Rh
1 2 1 1
Direct
0.000 0.000 0.000
0.000 0.500 0.000
0.500 0.000 0.000
0.000 0.000 0.500
0.500 0.500 0.500
```

As for the formation energy: 2.007 eV/atom. Its symmetry is No. 123. As for the crystal system: tetragonal.

=====

(9)
Here is an optimized crystal structure of MoOsSN2 from Alexandria. Energies are from PBE-GGA.

```
MoOsSN2
1.0
3.787 0.000 0.000
0.000 3.787 0.000
0.000 0.000 5.133
Mo Os S N
1 1 1 2
Direct
0.000 0.000 0.000
0.500 0.500 0.500
0.500 0.500 0.000
0.000 0.500 0.500
0.500 0.000 0.500
```

Its symmetry is No. 123. As for the crystal system: tetragonal. The uncorrected formation energy comes out at 967 meV per atom. The calculation puts the energy above the most stable polymorph in this dataset at 0.000 eV/atom.

=====

(10)
Here is an optimized crystal structure of NbSeBr from Alexandria. Energies are from PBE-GGA.

```
NbSeBr
1.0
0.000 5.275 5.275
5.275 0.000 5.275
5.275 5.275 0.000
Nb Se Br
4 4 4
Direct
0.102 0.102 0.102
0.102 0.102 0.695
0.102 0.695 0.102
0.695 0.102 0.102
0.405 0.865 0.865
0.865 0.405 0.865
0.865 0.865 0.405
0.865 0.865 0.865
0.369 0.369 0.369
0.369 0.369 0.893
0.369 0.893 0.369
0.893 0.369 0.369
```

Its symmetry is No. 216. As for the crystal system: cubic. The uncorrected formation energy comes out at -889 meV per atom.

=====

(11)
Here is an optimized crystal structure of ZrMnRh2 from Alexandria. Energies are from PBE-GGA.

```
ZrMnRh2
1.0
-1.466 2.119 5.263
1.466 -2.119 5.263
1.466 2.119 -5.263
Zr Mn Rh
1 1 2
Direct
0.000 0.000 0.000
0.500 0.500 0.000
0.288 0.288 0.000
0.712 0.712 0.000
```

As for the formation energy: 0.190 eV/atom. Its symmetry is No. 71. As for the crystal system: orthorhombic.

=====

(12)
Here is an optimized crystal structure of ErHfTe2 from Alexandria. Energies are from PBE-GGA.

```
ErHfTe2
1.0
1.940 1.120 9.706
-1.940 1.120 9.706
0.000 -2.241 9.706
Er Hf Te
1 1 2
Direct
0.000 0.000 0.000
0.500 0.500 0.500
0.104 0.104 0.104
0.896 0.896 0.896
```

Its symmetry is No. 166. As for the crystal system: trigonal. The uncorrected formation energy comes out at -524 meV per atom.

=====

no.,E (eV per atom)
1,-5.96
2,-6.77
3,-9.83
4,-6.28
5,-4.04
6,-3.14
7,-2.93
8,-4.20
9,-7.60
10,-5.96
11,-7.92
12,-5.72